1.
A plane-wave DFT calculation with PBE was carried out for a relaxed Ba3TlPd3 crystal.

Output
The value obtained for the total DFT energy (no corrections) is -3.770 eV per atom. The value obtained for the distance to the lowest polymorph of the same formula is 0.78 eV/f.u. The calculation puts the calculated density at 6.00 g/cm³.

Geometry as CIF:
```
data_Ba3TlPd3
_space_group_name_H-M_alt 'P 63/m'
_space_group_IT_number 176
_space_group_name_Hall '-P 6c'
_cell_length_a 9.6551
_cell_length_b 9.6551
_cell_length_c 6.4131
_cell_angle_alpha 90.00
_cell_angle_beta 90.00
_cell_angle_gamma 120.00
loop_
_atom_site_label
_atom_site_type_symbol
_atom_site_fract_x
_atom_site_fract_y
_atom_site_fract_z
_atom_site_occupancy
Ba1 Ba 0.0554 0.6973 0.2500 1
Tl1 Tl 0.3333 0.6667 0.7500 1
Pd1 Pd 0.0568 0.6835 0.7500 1
```


2.
A plane-wave DFT calculation with PBE was carried out for a relaxed BaTl3Pd3 crystal.

Output
The value obtained for the total DFT energy (no corrections) is -3.616 eV per atom. The value obtained for the distance to the lowest polymorph of the same formula is 1.35 eV/f.u. The calculation puts the calculated density at 8.20 g/cm³.

Geometry as CIF:
```
data_BaTl3Pd3
_space_group_name_H-M_alt 'P m -3 n'
_space_group_IT_number 223
_space_group_name_Hall '-P 4n 2 3'
_cell_length_a 7.5679
_cell_length_b 7.5679
_cell_length_c 7.5679
_cell_angle_alpha 90.00
_cell_angle_beta 90.00
_cell_angle_gamma 90.00
loop_
_atom_site_label
_atom_site_type_symbol
_atom_site_fract_x
_atom_site_fract_y
_atom_site_fract_z
_atom_site_occupancy
Ba1 Ba 0.0000 0.0000 0.0000 1
Tl1 Tl 0.0000 0.2500 0.5000 1
Pd1 Pd 0.0000 0.5000 0.2500 1
```


3.
A plane-wave DFT calculation with PBE was carried out for a relaxed BaTl2Pd crystal.

Output
The value obtained for the total DFT energy (no corrections) is -3.217 eV per atom. The calculation puts the calculated density at 9.85 g/cm³.

Geometry as CIF:
```
data_BaTl2Pd
_space_group_name_H-M_alt 'P 4/m m m'
_space_group_IT_number 123
_space_group_name_Hall '-P 4 2'
_cell_length_a 3.7192
_cell_length_b 3.7192
_cell_length_c 7.9531
_cell_angle_alpha 90.00
_cell_angle_beta 90.00
_cell_angle_gamma 90.00
loop_
_atom_site_label
_atom_site_type_symbol
_atom_site_fract_x
_atom_site_fract_y
_atom_site_fract_z
_atom_site_occupancy
Ba1 Ba 0.0000 0.0000 0.0000 1
Tl1 Tl 0.5000 0.5000 0.3096 1
Pd1 Pd 0.0000 0.0000 0.5000 1
```


4.
A plane-wave DFT calculation with PBE was carried out for a relaxed Ba2TlPd5 crystal.

Output
The value obtained for the total DFT energy (no corrections) is -4.402 eV per atom. The calculation puts the calculated density at 8.24 g/cm³.

Geometry as CIF:
```
data_Ba2TlPd5
_space_group_name_H-M_alt 'C 1 m 1'
_space_group_IT_number 8
_space_group_name_Hall 'C -2y'
_cell_length_a 11.4392
_cell_length_b 5.9251
_cell_length_c 7.1588
_cell_angle_alpha 90.00
_cell_angle_beta 122.92
_cell_angle_gamma 90.00
loop_
_atom_site_label
_atom_site_type_symbol
_atom_site_fract_x
_atom_site_fract_y
_atom_site_fract_z
_atom_site_occupancy
Ba1 Ba 0.0000 0.0000 0.0000 1
Ba2 Ba 0.0390 0.5000 0.5613 1
Tl1 Tl 0.2570 0.0000 0.7707 1
Pd1 Pd 0.2602 0.2631 0.4637 1
Pd2 Pd 0.2733 0.2623 0.0915 1
Pd3 Pd 0.4689 0.5000 0.4569 1
```


5.
A plane-wave DFT calculation with PBE was carried out for a relaxed Ba8Tl2Pd3 crystal.

Output
The value obtained for the total DFT energy (no corrections) is -3.088 eV per atom. The calculation puts the calculated density at 5.61 g/cm³.

Geometry as CIF:
```
data_Ba8Tl2Pd3
_space_group_name_H-M_alt 'P 1 2/m 1'
_space_group_IT_number 10
_space_group_name_Hall '-P 2y'
_cell_length_a 9.9772
_cell_length_b 5.7472
_cell_length_c 9.9962
_cell_angle_alpha 90.00
_cell_angle_beta 109.51
_cell_angle_gamma 90.00
loop_
_atom_site_label
_atom_site_type_symbol
_atom_site_fract_x
_atom_site_fract_y
_atom_site_fract_z
_atom_site_occupancy
Ba1 Ba 0.1147 0.0000 0.3849 1
Ba2 Ba 0.1249 0.5000 0.8593 1
Ba3 Ba 0.3595 0.5000 0.6240 1
Ba4 Ba 0.3797 0.0000 0.1198 1
Tl1 Tl 0.2563 0.5000 0.2430 1
Pd1 Pd 0.0000 0.5000 0.5000 1
Pd2 Pd 0.2576 0.0000 0.7572 1
```


6.
A plane-wave DFT calculation with PBE was carried out for a relaxed BaTl2Pd crystal.

Output
The value obtained for the total DFT energy (no corrections) is -2.900 eV per atom. The calculation puts the calculated density at 7.71 g/cm³.

Geometry as CIF:
```
data_BaTl2Pd
_space_group_name_H-M_alt 'R -3 m'
_space_group_IT_number 166
_space_group_name_Hall '-R 3 2"'
_cell_length_a 3.9602
_cell_length_b 3.9602
_cell_length_c 31.0583
_cell_angle_alpha 90.00
_cell_angle_beta 90.00
_cell_angle_gamma 120.00
loop_
_atom_site_label
_atom_site_type_symbol
_atom_site_fract_x
_atom_site_fract_y
_atom_site_fract_z
_atom_site_occupancy
Ba1 Ba 0.0000 0.0000 0.0000 1
Tl1 Tl 0.0000 0.0000 0.1128 1
Pd1 Pd 0.0000 0.0000 0.5000 1
```


7.
A plane-wave DFT calculation with PBE was carried out for a relaxed Ba4TlPd3 crystal.

Output
The value obtained for the total DFT energy (no corrections) is -3.667 eV per atom. The calculation puts the calculated density at 6.50 g/cm³.

Geometry as CIF:
```
data_Ba4TlPd3
_space_group_name_H-M_alt 'P m m 2'
_space_group_IT_number 25
_space_group_name_Hall 'P 2 -2'
_cell_length_a 4.5430
_cell_length_b 4.9776
_cell_length_c 12.1165
_cell_angle_alpha 90.00
_cell_angle_beta 90.00
_cell_angle_gamma 90.00
loop_
_atom_site_label
_atom_site_type_symbol
_atom_site_fract_x
_atom_site_fract_y
_atom_site_fract_z
_atom_site_occupancy
Ba1 Ba 0.0000 0.0000 0.0000 1
Ba2 Ba 0.0000 0.5000 0.2573 1
Ba3 Ba 0.5000 0.0000 0.4674 1
Ba4 Ba 0.5000 0.5000 0.7708 1
Tl1 Tl 0.0000 0.0000 0.6828 1
Pd1 Pd 0.0000 0.5000 0.5618 1
Pd2 Pd 0.5000 0.0000 0.1948 1
Pd3 Pd 0.5000 0.5000 0.0602 1
```


8.
A plane-wave DFT calculation with PBE was carried out for a relaxed BaTl2Pd2 crystal.

Output
The value obtained for the total DFT energy (no corrections) is -3.773 eV per atom. The calculation puts the calculated density at 9.56 g/cm³.

Geometry as CIF:
```
data_BaTl2Pd2
_space_group_name_H-M_alt 'P -1'
_space_group_IT_number 2
_space_group_name_Hall '-P 1'
_cell_length_a 6.4604
_cell_length_b 6.7842
_cell_length_c 7.2227
_cell_angle_alpha 112.33
_cell_angle_beta 111.47
_cell_angle_gamma 94.45
loop_
_atom_site_label
_atom_site_type_symbol
_atom_site_fract_x
_atom_site_fract_y
_atom_site_fract_z
_atom_site_occupancy
Ba1 Ba 0.0876 0.2122 0.3406 1
Tl1 Tl 0.1879 0.4193 0.9106 1
Tl2 Tl 0.4941 0.0763 0.7967 1
Pd1 Pd 0.2908 0.7025 0.3727 1
Pd2 Pd 0.4705 0.6473 0.7602 1
```


9.
A plane-wave DFT calculation with PBE was carried out for a relaxed Ba3Tl7Pd4 crystal.

Output
The value obtained for the total DFT energy (no corrections) is -3.463 eV per atom. The calculation puts the calculated density at 9.75 g/cm³.

Geometry as CIF:
```
data_Ba3Tl7Pd4
_space_group_name_H-M_alt 'C 1 2/m 1'
_space_group_IT_number 12
_space_group_name_Hall '-C 2y'
_cell_length_a 17.8558
_cell_length_b 4.8513
_cell_length_c 10.5825
_cell_angle_alpha 90.00
_cell_angle_beta 122.51
_cell_angle_gamma 90.00
loop_
_atom_site_label
_atom_site_type_symbol
_atom_site_fract_x
_atom_site_fract_y
_atom_site_fract_z
_atom_site_occupancy
Ba1 Ba 0.0000 0.0000 0.0000 1
Ba2 Ba 0.1905 0.5000 0.7014 1
Tl1 Tl 0.0000 0.0000 0.5000 1
Tl2 Tl 0.0036 0.5000 0.2840 1
Tl3 Tl 0.1620 0.0000 0.4287 1
Tl4 Tl 0.1816 0.5000 0.0312 1
Pd1 Pd 0.1201 0.0000 0.8452 1
Pd2 Pd 0.1615 0.5000 0.2817 1
```


10.
A plane-wave DFT calculation with PBE was carried out for a relaxed Ba3Tl2Pd crystal.

Output
The value obtained for the total DFT energy (no corrections) is -3.021 eV per atom. The calculation puts the calculated density at 6.77 g/cm³.

Geometry as CIF:
```
data_Ba3Tl2Pd
_space_group_name_H-M_alt 'C 1 2/c 1'
_space_group_IT_number 15
_space_group_name_Hall '-C 2yc'
_cell_length_a 11.4353
_cell_length_b 12.5495
_cell_length_c 7.0875
_cell_angle_alpha 90.00
_cell_angle_beta 116.50
_cell_angle_gamma 90.00
loop_
_atom_site_label
_atom_site_type_symbol
_atom_site_fract_x
_atom_site_fract_y
_atom_site_fract_z
_atom_site_occupancy
Ba1 Ba 0.0000 0.0930 0.2500 1
Ba2 Ba 0.1761 0.3814 0.0689 1
Tl1 Tl 0.1479 0.3223 0.5497 1
Pd1 Pd 0.0000 0.1949 0.7500 1
```